Entry 1:
Ce3Pa2Se8 PBE optimized geometry; E_form (uncorrected) = -19.35 eV per formula unit
1.0
5.3095 0.0000 0.0000
1.2854 7.9566 0.0000
1.4821 2.8988 8.6637
Ce Pa Se
3 2 8
Direct
0.0000 0.0000 0.0000
0.4967 0.7247 0.2675
0.5033 0.2753 0.7325
0.0970 0.2500 0.3260
0.9030 0.7500 0.6740
0.0604 0.6072 0.1523
0.0605 0.0899 0.6526
0.4354 0.1379 0.0979
0.4412 0.6687 0.6072
0.5588 0.3313 0.3928
0.5646 0.8621 0.9021
0.9395 0.9101 0.3474
0.9396 0.3928 0.8477

Entry 2:
CePaSe3 PBE optimized geometry; ΔE to the lowest computed polymorph = 0.232 eV per atom; E_form (uncorrected) = -6.84 eV per formula unit
1.0
6.5207 -2.8659 0.0000
6.5207 2.8659 0.0000
-2.9110 0.0000 8.5162
Ce Pa Se
2 2 6
Direct
0.1108 0.1108 0.2622
0.8892 0.8892 0.7378
0.3613 0.3613 0.0825
0.6387 0.6387 0.9175
0.1280 0.1280 0.9298
0.3410 0.3410 0.3767
0.4059 0.4059 0.7894
0.5941 0.5941 0.2106
0.6590 0.6590 0.6233
0.8720 0.8720 0.0702

Entry 3:
Ce2SmPaSe5 PBE optimized geometry; E_form (uncorrected) = -9.87 eV per formula unit
1.0
5.2030 0.0000 0.0000
0.0000 5.2030 0.0000
0.0000 0.0000 10.9023
Ce Sm Pa Se
2 1 1 5
Direct
0.0000 0.0000 0.1924
0.0000 0.0000 0.8076
0.5000 0.5000 0.5000
0.5000 0.5000 0.0000
0.0000 0.0000 0.5000
0.0000 0.5000 0.0000
0.5000 0.0000 0.0000
0.5000 0.5000 0.2524
0.5000 0.5000 0.7476

| no. | calculated volume (Å³ per atom) | VASP energy (eV per atom) | D(E_F) (states/eV/cell) |
| --- | --- | --- | --- |
| 1 | 28.154 | -6.463 | 28.523 |
| 2 | 31.830 | -6.545 | 19.775 |
| 3 | 32.793 | -5.930 | 19.844 |